Entry 1:
Compound: FeOsRu2
Source: the Alexandria database
Functional: PBE
Structure: relaxed

Calculated values
Uncorrected energy: -37.0 eV for the cell shown
Formation enthalpy at 0 K: 0.3223 eV/atom

abc: 5.123 5.123 5.123
angles: 147.63 129.91 60.91
Fractional positions:
Fe (0.000, 0.000, 0.000)
Os (0.500, 0.500, 0.000)
Ru (0.227, 0.727, 0.500)
Ru (0.773, 0.273, 0.500)

Entry 2:
Compound: BaAgBr3
Source: the Alexandria database
Functional: PBE
Structure: relaxed

Calculated values
Formation energy (no corrections): -89.5 kJ/mol of atoms
Uncorrected energy: -14.4 eV for the cell shown

abc: 6.269 6.269 6.269
angles: 90.00 90.00 90.00
Fractional positions:
Ba (0.000, 0.000, 0.000)
Ag (0.500, 0.500, 0.500)
Br (0.000, 0.000, 0.500)
Br (0.000, 0.500, 0.000)
Br (0.500, 0.000, 0.000)

Entry 3:
Compound: LaSn3F
Source: the Alexandria database
Functional: PBE
Structure: relaxed

Calculated values
Formation energy (no corrections): -84.4 kJ/mol of atoms
Uncorrected energy: -23.2 eV for the cell shown

abc: 5.000 5.000 5.000
angles: 90.00 90.00 90.00
Fractional positions:
La (0.000, 0.000, 0.000)
Sn (0.000, 0.500, 0.500)
Sn (0.500, 0.000, 0.500)
Sn (0.500, 0.500, 0.000)
F (0.500, 0.500, 0.500)

Entry 4:
Compound: Ba2CrCd
Source: the Alexandria database
Functional: PBE
Structure: relaxed

Calculated values
Uncorrected energy: -13.5 eV for the cell shown
Formation enthalpy at 0 K: 0.2251 eV/atom

abc: 5.085 6.866 6.866
angles: 42.22 90.00 90.00
Fractional positions:
Ba (0.000, 0.000, 0.000)
Ba (0.500, 0.288, 0.288)
Cr (0.000, 0.702, 0.702)
Cd (0.500, 0.585, 0.585)

Entry 5:
Compound: Mn2AgMo
Source: the Alexandria database
Functional: PBE
Structure: relaxed

Calculated values
Uncorrected energy: -30.9 eV for the cell shown
Formation enthalpy at 0 K: 0.2863 eV/atom

abc: 2.684 2.684 8.038
angles: 90.00 90.00 90.34
Fractional positions:
Mn (0.000, 0.000, 0.000)
Mn (0.500, 0.500, 0.197)
Ag (0.500, 0.500, 0.729)
Mo (0.000, 0.000, 0.441)

Entry 6:
Compound: Rb3Hg2Cl8
Source: the Alexandria database
Functional: PBE
Structure: relaxed

Calculated values
Formation energy (no corrections): -108.3 kJ/mol of atoms
Uncorrected energy: -32.9 eV for the cell shown

abc: 10.480 10.480 10.480
angles: 41.24 41.24 41.24
Fractional positions:
Rb (0.000, 0.000, 0.000)
Rb (0.204, 0.204, 0.204)
Rb (0.796, 0.796, 0.796)
Hg (0.402, 0.402, 0.402)
Hg (0.598, 0.598, 0.598)
Cl (0.201, 0.744, 0.744)
Cl (0.256, 0.256, 0.799)
Cl (0.256, 0.799, 0.256)
Cl (0.316, 0.316, 0.316)
Cl (0.684, 0.684, 0.684)
Cl (0.744, 0.201, 0.744)
Cl (0.744, 0.744, 0.201)
Cl (0.799, 0.256, 0.256)

Entry 7:
Compound: IrWCl2
Source: the Alexandria database
Functional: PBE
Structure: relaxed

Calculated values
Formation energy (no corrections): 59.6 kJ/mol of atoms
Uncorrected energy: -23.0 eV for the cell shown

abc: 10.018 10.018 10.018
angles: 16.73 16.73 16.73
Fractional positions:
Ir (0.000, 0.000, 0.000)
W (0.500, 0.500, 0.500)
Cl (0.228, 0.228, 0.228)
Cl (0.772, 0.772, 0.772)

Entry 8:
Compound: Fe2CoRu
Source: the Alexandria database
Functional: PBE
Structure: relaxed

Calculated values
Uncorrected energy: -32.8 eV for the cell shown
Formation enthalpy at 0 K: 0.1326 eV/atom

abc: 2.604 3.558 5.145
angles: 90.00 90.00 90.00
Fractional positions:
Fe (0.000, 0.000, 0.241)
Fe (0.000, 0.000, 0.759)
Co (0.500, 0.500, 0.000)
Ru (0.500, 0.500, 0.500)

Entry 9:
Compound: Er3Bi2H2
Source: the Alexandria database
Functional: PBE
Structure: relaxed

Calculated values
Uncorrected energy: -32.8 eV for the cell shown

abc: 4.162 6.304 6.448
angles: 72.93 71.19 70.80
Fractional positions:
Er (0.000, 0.000, 0.000)
Er (0.186, 0.384, 0.244)
Er (0.814, 0.616, 0.756)
Bi (0.421, 0.797, 0.359)
Bi (0.579, 0.203, 0.641)
H (0.210, 0.650, 0.928)
H (0.790, 0.350, 0.072)

Entry 10:
Compound: Sr2Bi3Pd3
Source: the Alexandria database
Functional: PBE
Structure: relaxed

Calculated values
Uncorrected energy: -27.6 eV for the cell shown
Formation enthalpy at 0 K: 0.3688 eV/atom

abc: 3.261 3.261 22.913
angles: 90.00 90.00 90.00
Fractional positions:
Sr (0.000, 0.000, 0.238)
Sr (0.000, 0.000, 0.762)
Bi (0.000, 0.000, 0.000)
Bi (0.000, 0.000, 0.384)
Bi (0.000, 0.000, 0.616)
Pd (0.000, 0.000, 0.118)
Pd (0.000, 0.000, 0.500)
Pd (0.000, 0.000, 0.882)

Entry 11:
Compound: PuNiHg
Source: the Alexandria database
Functional: PBE
Structure: relaxed

Calculated values
Uncorrected energy: -20.5 eV for the cell shown
Formation enthalpy at 0 K: -0.0203 eV/atom

abc: 6.194 6.194 6.194
angles: 149.88 149.88 43.12
Fractional positions:
Pu (0.000, 0.000, 0.000)
Ni (0.650, 0.650, 0.000)
Hg (0.290, 0.290, 0.000)

Entry 12:
Compound: InSbRh2
Source: the Alexandria database
Functional: PBE
Structure: relaxed

Calculated values
Formation energy (no corrections): 19.4 kJ/mol of atoms
Uncorrected energy: -41.5 eV for the cell shown

abc: 7.121 7.121 7.121
angles: 129.62 129.62 74.02
Fractional positions:
In (0.000, 0.000, 0.000)
In (0.750, 0.250, 0.500)
Sb (0.250, 0.750, 0.500)
Sb (0.500, 0.500, 0.000)
Rh (0.139, 0.625, 0.014)
Rh (0.375, 0.389, 0.514)
Rh (0.611, 0.125, 0.986)
Rh (0.875, 0.861, 0.486)

Entry 13:
Compound: Ti3BiPb
Source: the Alexandria database
Functional: PBE
Structure: relaxed

Calculated values
Uncorrected energy: -62.6 eV for the cell shown
Formation enthalpy at 0 K: -0.0071 eV/atom

abc: 4.945 5.682 7.682
angles: 90.00 105.17 90.00
Fractional positions:
Ti (0.000, 0.000, 0.000)
Ti (0.000, 0.500, 0.000)
Ti (0.126, 0.250, 0.362)
Ti (0.314, 0.250, 0.761)
Ti (0.686, 0.750, 0.239)
Ti (0.874, 0.750, 0.638)
Bi (0.250, 0.750, 0.393)
Bi (0.750, 0.250, 0.607)
Pb (0.444, 0.750, 0.857)
Pb (0.556, 0.250, 0.143)

Entry 14:
Compound: BaCaInP2
Source: the Alexandria database
Functional: PBE
Structure: relaxed

Calculated values
Uncorrected energy: -41.2 eV for the cell shown
Formation enthalpy at 0 K: -0.6249 eV/atom

abc: 7.378 5.529 7.743
angles: 90.00 103.94 90.00
Fractional positions:
Ba (0.000, 0.201, 0.250)
Ba (0.000, 0.799, 0.750)
Ca (0.500, 0.490, 0.750)
Ca (0.500, 0.510, 0.250)
In (0.500, 0.000, 0.000)
In (0.500, 0.000, 0.500)
P (0.240, 0.288, 0.943)
P (0.240, 0.712, 0.443)
P (0.760, 0.288, 0.557)
P (0.760, 0.712, 0.057)

Entry 15:
Compound: Ac3PtS2
Source: the Alexandria database
Functional: PBE
Structure: relaxed

Calculated values
Formation energy (no corrections): -163.1 kJ/mol of atoms
Uncorrected energy: -36.8 eV for the cell shown

abc: 9.897 9.897 9.897
angles: 154.72 154.72 36.06
Fractional positions:
Ac (0.000, 0.000, 0.000)
Ac (0.332, 0.332, 0.000)
Ac (0.668, 0.668, 0.000)
Pt (0.500, 0.500, 0.000)
S (0.170, 0.170, 0.000)
S (0.830, 0.830, 0.000)

Entry 16:
Compound: Zn2Ag2S
Source: the Alexandria database
Functional: PBE
Structure: relaxed

Calculated values
Formation energy (no corrections): 16.4 kJ/mol of atoms
Uncorrected energy: -23.1 eV for the cell shown

abc: 6.964 6.964 3.702
angles: 90.00 90.00 90.00
Fractional positions:
Zn (0.148, 0.352, 0.000)
Zn (0.352, 0.852, 0.000)
Zn (0.648, 0.148, 0.000)
Zn (0.852, 0.648, 0.000)
Ag (0.149, 0.649, 0.500)
Ag (0.351, 0.149, 0.500)
Ag (0.649, 0.851, 0.500)
Ag (0.851, 0.351, 0.500)
S (0.000, 0.000, 0.500)
S (0.500, 0.500, 0.500)

Entry 17:
Compound: NbZnGe2
Source: the Alexandria database
Functional: PBE
Structure: relaxed

Calculated values
Uncorrected energy: -20.4 eV for the cell shown
Formation enthalpy at 0 K: 0.0399 eV/atom

abc: 9.206 9.206 9.206
angles: 19.25 19.25 19.25
Fractional positions:
Nb (0.000, 0.000, 0.000)
Zn (0.500, 0.500, 0.500)
Ge (0.410, 0.410, 0.410)
Ge (0.590, 0.590, 0.590)

Entry 18:
Compound: YSiIr
Source: the Alexandria database
Functional: PBE
Structure: relaxed

Calculated values
Formation energy (no corrections): -102.4 kJ/mol of atoms
Uncorrected energy: -95.7 eV for the cell shown

abc: 6.876 4.242 7.450
angles: 90.00 90.00 90.00
Fractional positions:
Y (0.002, 0.250, 0.186)
Y (0.498, 0.750, 0.686)
Y (0.502, 0.250, 0.314)
Y (0.998, 0.750, 0.814)
Si (0.201, 0.750, 0.391)
Si (0.299, 0.250, 0.891)
Si (0.701, 0.750, 0.109)
Si (0.799, 0.250, 0.609)
Ir (0.157, 0.250, 0.567)
Ir (0.343, 0.750, 0.067)
Ir (0.657, 0.250, 0.933)
Ir (0.843, 0.750, 0.433)

Entry 19:
Compound: MnNb6Ga2
Source: the Alexandria database
Functional: PBE
Structure: relaxed

Calculated values
Uncorrected energy: -73.3 eV for the cell shown
Formation enthalpy at 0 K: 0.2650 eV/atom

abc: 7.323 7.323 4.420
angles: 107.48 107.48 50.01
Fractional positions:
Mn (0.000, 0.000, 0.000)
Nb (0.089, 0.602, 0.846)
Nb (0.235, 0.765, 0.500)
Nb (0.398, 0.911, 0.154)
Nb (0.602, 0.089, 0.846)
Nb (0.765, 0.235, 0.500)
Nb (0.911, 0.398, 0.154)
Ga (0.330, 0.330, 0.331)
Ga (0.670, 0.670, 0.669)

Entry 20:
Compound: Dy6YHo2
Source: the Alexandria database
Functional: PBE
Structure: relaxed

Calculated values
Uncorrected energy: -82.2 eV for the cell shown
Formation enthalpy at 0 K: 0.2391 eV/atom

abc: 9.801 9.801 6.281
angles: 101.35 101.35 91.83
Fractional positions:
Dy (0.070, 0.822, 0.985)
Dy (0.079, 0.508, 0.273)
Dy (0.178, 0.930, 0.515)
Dy (0.349, 0.437, 0.040)
Dy (0.437, 0.349, 0.540)
Dy (0.492, 0.921, 0.227)
Dy (0.508, 0.079, 0.773)
Dy (0.563, 0.651, 0.460)
Dy (0.651, 0.563, 0.960)
Dy (0.822, 0.070, 0.485)
Dy (0.921, 0.492, 0.727)
Dy (0.930, 0.178, 0.015)
Y (0.322, 0.678, 0.750)
Y (0.678, 0.322, 0.250)
Ho (0.130, 0.257, 0.586)
Ho (0.257, 0.130, 0.086)
Ho (0.743, 0.870, 0.914)
Ho (0.870, 0.743, 0.414)

Entry 21:
Compound: PrY2Bi3
Source: the Alexandria database
Functional: PBE
Structure: relaxed

Calculated values
Uncorrected energy: -34.8 eV for the cell shown
Formation enthalpy at 0 K: -0.9110 eV/atom

abc: 7.857 7.857 7.857
angles: 146.44 131.74 60.06
Fractional positions:
Pr (0.000, 0.000, 0.000)
Y (0.335, 0.335, 0.000)
Y (0.665, 0.665, 0.000)
Bi (0.172, 0.672, 0.500)
Bi (0.500, 0.000, 0.500)
Bi (0.828, 0.328, 0.500)

Entry 22:
Compound: InNiW
Source: the Alexandria database
Functional: PBE
Structure: relaxed

Calculated values
Uncorrected energy: -20.8 eV for the cell shown
Formation enthalpy at 0 K: 0.2138 eV/atom

abc: 5.988 5.988 5.988
angles: 151.91 151.91 40.14
Fractional positions:
In (0.000, 0.000, 0.000)
Ni (0.667, 0.667, 0.000)
W (0.303, 0.303, 0.000)

Entry 23:
Compound: BaGd3Pt
Source: the Alexandria database
Functional: PBE
Structure: relaxed

Calculated values
Uncorrected energy: -52.2 eV for the cell shown
Formation enthalpy at 0 K: -0.3931 eV/atom

abc: 5.668 5.668 5.668
angles: 90.00 90.00 90.00
Fractional positions:
Ba (0.000, 0.000, 0.000)
Gd (0.000, 0.500, 0.500)
Gd (0.500, 0.000, 0.500)
Gd (0.500, 0.500, 0.000)
Pt (0.500, 0.500, 0.500)

Entry 24:
Compound: GaNiAu2
Source: the Alexandria database
Functional: PBE
Structure: relaxed

Calculated values
Uncorrected energy: -14.3 eV for the cell shown
Formation enthalpy at 0 K: 0.2647 eV/atom

abc: 10.210 10.210 10.210
angles: 15.80 15.80 15.80
Fractional positions:
Ga (0.000, 0.000, 0.000)
Ni (0.500, 0.500, 0.500)
Au (0.416, 0.416, 0.416)
Au (0.584, 0.584, 0.584)

Entry 25:
Compound: VFePt6
Source: the Alexandria database
Functional: PBE
Structure: relaxed

Calculated values
Uncorrected energy: -52.1 eV for the cell shown
Formation enthalpy at 0 K: 0.2111 eV/atom

abc: 5.208 5.208 5.208
angles: 87.43 87.43 87.43
Fractional positions:
V (0.000, 0.000, 0.000)
Fe (0.500, 0.500, 0.500)
Pt (0.171, 0.171, 0.551)
Pt (0.171, 0.551, 0.171)
Pt (0.449, 0.829, 0.829)
Pt (0.551, 0.171, 0.171)
Pt (0.829, 0.449, 0.829)
Pt (0.829, 0.829, 0.449)

Entry 26:
Compound: NaAlI4
Source: the Alexandria database
Functional: PBE
Structure: relaxed

Calculated values
Formation energy (no corrections): -84.6 kJ/mol of atoms
Uncorrected energy: -16.5 eV for the cell shown

abc: 7.721 7.721 7.721
angles: 124.04 124.04 83.13
Fractional positions:
Na (0.000, 0.000, 0.000)
Al (0.750, 0.250, 0.500)
I (0.101, 0.562, 0.914)
I (0.438, 0.352, 0.538)
I (0.648, 0.186, 0.086)
I (0.814, 0.899, 0.462)